Record 1
First-principles (GGA-PBE) data for a relaxed HgGe2Pb2 crystal, as listed in the Alexandria database.

Cell and atoms, written as POSCAR:
```
HgGe2Pb2
1.0
8.803 0.000 0.000
0.000 8.803 0.000
0.000 0.000 3.452
Hg Ge Pb
2 4 4
direct
0.000 0.000 0.000
0.500 0.500 0.000
0.145 0.355 0.000
0.355 0.855 0.000
0.645 0.145 0.000
0.855 0.645 0.000
0.151 0.651 0.500
0.349 0.151 0.500
0.651 0.849 0.500
0.849 0.349 0.500
```

Properties
crystal system = tetragonal
formation enthalpy at 0 K = 0.224 eV per atom
symmetry = No. 127
ΔE to the lowest computed polymorph = 80.4 meV per atom

=====

Record 2
First-principles (GGA-PBE) data for a relaxed Hg2Ge2Pb crystal, as listed in the Alexandria database.

Cell and atoms, written as POSCAR:
```
Hg2Ge2Pb
1.0
-2.340 2.340 5.824
2.340 -2.340 5.824
2.340 2.340 -5.824
Hg Ge Pb
2 2 1
direct
0.250 0.750 0.500
0.750 0.250 0.500
0.106 0.106 0.000
0.894 0.894 0.000
0.500 0.500 0.000
```

Properties
crystal system = tetragonal
formation enthalpy at 0 K = 0.229 eV per atom
symmetry = No. 139
ΔE to the lowest computed polymorph = 4.8 meV per atom

=====

Record 3
First-principles (GGA-PBE) data for a relaxed HgGe2Pb4 crystal, as listed in the Alexandria database.

Cell and atoms, written as POSCAR:
```
HgGe2Pb4
1.0
-2.910 2.910 7.143
2.910 -2.910 7.143
2.910 2.910 -7.143
Hg Ge Pb
1 2 4
direct
0.000 0.000 0.000
0.412 0.412 0.000
0.588 0.588 0.000
0.000 0.500 0.500
0.216 0.216 0.000
0.500 0.000 0.500
0.784 0.784 0.000
```

Properties
crystal system = tetragonal
formation enthalpy at 0 K = 0.448 eV per atom
symmetry = No. 139

=====

Record 4
First-principles (GGA-PBE) data for a relaxed Hg2Ge2Pb crystal, as listed in the Alexandria database.

Cell and atoms, written as POSCAR:
```
Hg2Ge2Pb
1.0
8.638 0.000 0.000
0.000 8.638 0.000
0.000 0.000 3.285
Hg Ge Pb
4 4 2
direct
0.145 0.355 0.000
0.355 0.855 0.000
0.645 0.145 0.000
0.855 0.645 0.000
0.152 0.652 0.500
0.348 0.152 0.500
0.652 0.848 0.500
0.848 0.348 0.500
0.000 0.000 0.000
0.500 0.500 0.000
```

Properties
crystal system = tetragonal
formation enthalpy at 0 K = 0.271 eV per atom
symmetry = No. 127
ΔE to the lowest computed polymorph = 47.6 meV per atom

=====

Record 5
First-principles (GGA-PBE) data for a relaxed Hg2Ge2Pb crystal, as listed in the Alexandria database.

Cell and atoms, written as POSCAR:
```
Hg2Ge2Pb
1.0
7.688 0.000 0.000
0.000 7.688 0.000
0.000 0.000 4.236
Hg Ge Pb
4 4 2
direct
0.181 0.319 0.000
0.319 0.819 0.000
0.681 0.181 0.000
0.819 0.681 0.000
0.118 0.618 0.500
0.382 0.118 0.500
0.618 0.882 0.500
0.882 0.382 0.500
0.000 0.000 0.500
0.500 0.500 0.500
```

Properties
crystal system = tetragonal
formation enthalpy at 0 K = 0.224 eV per atom
symmetry = No. 127
ΔE to the lowest computed polymorph = 0.0 meV per atom

=====

Record 6
First-principles (GGA-PBE) data for a relaxed HgGePb3 crystal, as listed in the Alexandria database.

Cell and atoms, written as POSCAR:
```
HgGePb3
1.0
5.694 0.000 0.000
0.000 5.694 0.000
0.000 0.000 5.694
Hg Ge Pb
1 1 3
direct
0.000 0.000 0.000
0.500 0.500 0.500
0.000 0.000 0.500
0.000 0.500 0.000
0.500 0.000 0.000
```

Properties
crystal system = cubic
formation enthalpy at 0 K = 0.688 eV per atom
symmetry = No. 221
ΔE to the lowest computed polymorph = 269.9 meV per atom

=====

Record 7
First-principles (GGA-PBE) data for a relaxed HgGePb3 crystal, as listed in the Alexandria database.

Cell and atoms, written as POSCAR:
```
HgGePb3
1.0
5.624 0.000 0.000
0.000 5.624 0.000
0.000 0.000 5.624
Hg Ge Pb
1 1 3
direct
0.000 0.000 0.000
0.500 0.500 0.500
0.000 0.500 0.500
0.500 0.000 0.500
0.500 0.500 0.000
```

Properties
crystal system = cubic
formation enthalpy at 0 K = 0.418 eV per atom
symmetry = No. 221
ΔE to the lowest computed polymorph = 0.0 meV per atom

=====

Record 8
First-principles (GGA-PBE) data for a relaxed HgGe2Pb2 crystal, as listed in the Alexandria database.

Cell and atoms, written as POSCAR:
```
HgGe2Pb2
1.0
-2.008 2.008 8.446
2.008 -2.008 8.446
2.008 2.008 -8.446
Hg Ge Pb
1 2 2
direct
0.000 0.000 0.000
0.250 0.750 0.500
0.750 0.250 0.500
0.389 0.389 0.000
0.611 0.611 0.000
```

Properties
crystal system = tetragonal
formation enthalpy at 0 K = 0.144 eV per atom
symmetry = No. 139
ΔE to the lowest computed polymorph = 0.0 meV per atom

=====

Record 9
First-principles (GGA-PBE) data for a relaxed HgGePb2 crystal, as listed in the Alexandria database.

Cell and atoms, written as POSCAR:
```
HgGePb2
1.0
3.651 0.000 0.000
0.000 3.651 0.000
0.000 0.000 8.267
Hg Ge Pb
1 1 2
direct
0.000 0.000 0.000
0.000 0.000 0.500
0.500 0.500 0.280
0.500 0.500 0.720
```

Properties
crystal system = tetragonal
formation enthalpy at 0 K = 0.107 eV per atom
symmetry = No. 123
ΔE to the lowest computed polymorph = 0.0 meV per atom

=====

Record 10
First-principles (GGA-PBE) data for a relaxed PmHgGePb crystal, as listed in the Alexandria database.

Cell and atoms, written as POSCAR:
```
PmHgGePb
1.0
0.000 3.750 3.750
3.750 0.000 3.750
3.750 3.750 0.000
Pm Hg Ge Pb
1 1 1 1
direct
0.000 0.000 0.000
0.750 0.750 0.750
0.250 0.250 0.250
0.500 0.500 0.500
```

Properties
crystal system = cubic
formation enthalpy at 0 K = -0.250 eV per atom
symmetry = No. 216

=====

Record 11
First-principles (GGA-PBE) data for a relaxed PrHgGePb crystal, as listed in the Alexandria database.

Cell and atoms, written as POSCAR:
```
PrHgGePb
1.0
0.000 3.776 3.776
3.776 0.000 3.776
3.776 3.776 0.000
Pr Hg Ge Pb
1 1 1 1
direct
0.000 0.000 0.000
0.750 0.750 0.750
0.250 0.250 0.250
0.500 0.500 0.500
```

Properties
crystal system = cubic
formation enthalpy at 0 K = -0.267 eV per atom
symmetry = No. 216

=====

Record 12
First-principles (GGA-PBE) data for a relaxed RbHg2GePb crystal, as listed in the Alexandria database.

Cell and atoms, written as POSCAR:
```
RbHg2GePb
1.0
5.704 0.000 0.000
0.000 5.704 0.000
0.000 0.000 5.582
Rb Hg Ge Pb
1 2 1 1
direct
0.000 0.000 0.000
0.000 0.500 0.500
0.500 0.000 0.500
0.500 0.500 0.500
0.500 0.500 0.000
```

Properties
crystal system = tetragonal
formation enthalpy at 0 K = 0.078 eV per atom
symmetry = No. 123

=====

Record 13
First-principles (GGA-PBE) data for a relaxed HgGePbS4 crystal, as listed in the Alexandria database.

Cell and atoms, written as POSCAR:
```
HgGePbS4
1.0
6.374 0.000 0.000
0.000 7.199 0.000
-1.488 0.000 7.958
Hg Ge Pb S
2 2 2 8
direct
0.212 0.250 0.055
0.788 0.750 0.945
0.244 0.750 0.798
0.756 0.250 0.202
0.211 0.250 0.504
0.789 0.750 0.496
0.005 0.018 0.230
0.005 0.482 0.230
0.372 0.750 0.563
0.454 0.750 0.049
0.546 0.250 0.951
0.628 0.250 0.437
0.995 0.518 0.770
0.995 0.982 0.770
```

Properties
crystal system = monoclinic
uncorrected formation energy = -0.244 eV per atom
symmetry = No. 11

=====

Record 14
First-principles (GGA-PBE) data for a relaxed HgGe2PbS6 crystal, as listed in the Alexandria database.

Cell and atoms, written as POSCAR:
```
HgGe2PbS6
1.0
6.498 -6.623 0.000
6.498 6.623 0.000
-2.123 0.000 6.300
Hg Ge Pb S
2 4 2 12
direct
0.200 0.800 0.750
0.800 0.200 0.250
0.137 0.274 0.711
0.274 0.137 0.211
0.726 0.863 0.789
0.863 0.726 0.289
0.398 0.602 0.250
0.602 0.398 0.750
0.076 0.193 0.984
0.085 0.644 0.411
0.193 0.076 0.484
0.307 0.461 0.794
0.356 0.915 0.089
0.461 0.307 0.294
0.539 0.693 0.706
0.644 0.085 0.911
0.693 0.539 0.206
0.807 0.924 0.516
0.915 0.356 0.589
0.924 0.807 0.016
```

Properties
crystal system = monoclinic
uncorrected formation energy = -0.298 eV per atom
symmetry = No. 15

=====

Record 15
First-principles (GGA-PBE) data for a relaxed Hg2GeSbPb crystal, as listed in the Alexandria database.

Cell and atoms, written as POSCAR:
```
Hg2GeSbPb
1.0
5.621 0.000 0.000
0.000 5.621 0.000
0.000 0.000 6.051
Hg Ge Sb Pb
2 1 1 1
direct
0.000 0.500 0.000
0.500 0.000 0.000
0.000 0.000 0.500
0.500 0.500 0.500
0.500 0.500 0.000
```

Properties
crystal system = tetragonal
uncorrected formation energy = 0.771 eV per atom
symmetry = No. 123

=====

Record 16
First-principles (GGA-PBE) data for a relaxed Hg2GePbSe4 crystal, as listed in the Alexandria database.

Cell and atoms, written as POSCAR:
```
Hg2GePbSe4
1.0
0.000 4.559 6.448
4.554 0.000 6.448
4.554 4.559 0.000
Hg Ge Pb Se
2 1 1 4
direct
0.000 0.000 0.500
0.500 0.500 0.000
0.250 0.250 0.750
0.750 0.750 0.250
0.153 0.613 0.847
0.346 0.888 0.112
0.613 0.153 0.387
0.888 0.346 0.654
```

Properties
crystal system = orthorhombic
uncorrected formation energy = -0.176 eV per atom
symmetry = No. 42

=====

Record 17
First-principles (GGA-PBE) data for a relaxed SrHgGePb crystal, as listed in the Alexandria database.

Cell and atoms, written as POSCAR:
```
SrHgGePb
1.0
0.000 3.854 3.854
3.854 0.000 3.854
3.854 3.854 0.000
Sr Hg Ge Pb
1 1 1 1
direct
0.000 0.000 0.000
0.750 0.750 0.750
0.250 0.250 0.250
0.500 0.500 0.500
```

Properties
crystal system = cubic
formation enthalpy at 0 K = -0.278 eV per atom
symmetry = No. 216

=====

Record 18
First-principles (GGA-PBE) data for a relaxed TcHgGePb2 crystal, as listed in the Alexandria database.

Cell and atoms, written as POSCAR:
```
TcHgGePb2
1.0
5.723 0.000 0.000
0.000 5.723 0.000
0.000 0.000 5.018
Tc Hg Ge Pb
1 1 1 2
direct
0.000 0.000 0.000
0.500 0.500 0.500
0.500 0.500 0.000
0.000 0.500 0.500
0.500 0.000 0.500
```

Properties
crystal system = tetragonal
formation enthalpy at 0 K = 1.378 eV per atom
symmetry = No. 123

=====

Record 19
First-principles (GGA-PBE) data for a relaxed TcHgGe2Pb crystal, as listed in the Alexandria database.

Cell and atoms, written as POSCAR:
```
TcHgGe2Pb
1.0
4.823 0.000 0.000
0.000 4.823 0.000
0.000 0.000 5.461
Tc Hg Ge Pb
1 1 2 1
direct
0.000 0.000 0.000
0.500 0.500 0.500
0.000 0.500 0.000
0.500 0.000 0.000
0.000 0.000 0.500
```

Properties
crystal system = tetragonal
formation enthalpy at 0 K = 0.203 eV per atom
symmetry = No. 123

=====

Record 20
First-principles (GGA-PBE) data for a relaxed HgGeTe4Pb2 crystal, as listed in the Alexandria database.

Cell and atoms, written as POSCAR:
```
HgGeTe4Pb2
1.0
7.748 0.000 0.000
0.000 4.456 0.000
-2.652 0.000 7.315
Hg Ge Te Pb
1 1 4 2
direct
0.000 0.000 0.000
0.500 0.500 0.000
0.246 0.500 0.229
0.264 0.000 0.770
0.736 0.000 0.230
0.754 0.500 0.771
0.000 0.500 0.500
0.500 0.000 0.500
```

Properties
crystal system = monoclinic
uncorrected formation energy = -0.193 eV per atom
symmetry = No. 10

=====

Record 21
First-principles (GGA-PBE) data for a relaxed TlHgGePb crystal, as listed in the Alexandria database.

Cell and atoms, written as POSCAR:
```
TlHgGePb
1.0
0.000 3.771 3.771
3.771 0.000 3.771
3.771 3.771 0.000
Tl Hg Ge Pb
1 1 1 1
direct
0.000 0.000 0.000
0.250 0.250 0.250
0.750 0.750 0.750
0.500 0.500 0.500
```

Properties
crystal system = cubic
formation enthalpy at 0 K = 0.143 eV per atom
symmetry = No. 216

=====

Record 22
First-principles (GGA-PBE) data for a relaxed HgGePb2W crystal, as listed in the Alexandria database.

Cell and atoms, written as POSCAR:
```
HgGePb2W
1.0
5.378 0.000 0.000
0.000 5.378 0.000
0.000 0.000 5.375
Hg Ge Pb W
1 1 2 1
direct
0.000 0.000 0.000
0.500 0.500 0.000
0.000 0.500 0.500
0.500 0.000 0.500
0.000 0.000 0.500
```

Properties
crystal system = tetragonal
formation enthalpy at 0 K = 1.023 eV per atom
symmetry = No. 123

=====

Record 23
First-principles (GGA-PBE) data for a relaxed Hg2GePd2 crystal, as listed in the Alexandria database.

Cell and atoms, written as POSCAR:
```
Hg2GePd2
1.0
6.621 0.000 0.000
0.000 6.621 0.000
0.000 0.000 4.360
Hg Ge Pd
4 2 4
direct
0.157 0.343 0.000
0.343 0.843 0.000
0.657 0.157 0.000
0.843 0.657 0.000
0.000 0.000 0.500
0.500 0.500 0.500
0.154 0.654 0.500
0.346 0.154 0.500
0.654 0.846 0.500
0.846 0.346 0.500
```

Properties
crystal system = tetragonal
formation enthalpy at 0 K = -0.116 eV per atom
symmetry = No. 127
ΔE to the lowest computed polymorph = 0.0 meV per atom

=====

Record 24
First-principles (GGA-PBE) data for a relaxed HgGe2Pd7 crystal, as listed in the Alexandria database.

Cell and atoms, written as POSCAR:
```
HgGe2Pd7
1.0
-2.043 2.043 10.029
2.043 -2.043 10.029
2.043 2.043 -10.029
Hg Ge Pd
1 2 7
direct
0.000 0.000 0.000
0.327 0.327 0.000
0.673 0.673 0.000
0.103 0.603 0.500
0.250 0.750 0.500
0.397 0.897 0.500
0.500 0.500 0.000
0.603 0.103 0.500
0.750 0.250 0.500
0.897 0.397 0.500
```

Properties
crystal system = tetragonal
formation enthalpy at 0 K = -0.370 eV per atom
symmetry = No. 139
ΔE to the lowest computed polymorph = 0.0 meV per atom

=====

Record 25
First-principles (GGA-PBE) data for a relaxed HgGe2Pd7 crystal, as listed in the Alexandria database.

Cell and atoms, written as POSCAR:
```
HgGe2Pd7
1.0
3.671 -6.097 0.000
3.671 6.097 0.000
0.000 0.000 4.406
Hg Ge Pd
1 2 7
direct
0.000 0.000 0.000
0.302 0.698 0.500
0.698 0.302 0.500
0.066 0.311 0.500
0.225 0.775 0.000
0.311 0.066 0.500
0.500 0.500 0.500
0.689 0.934 0.500
0.775 0.225 0.000
0.934 0.689 0.500
```

Properties
crystal system = orthorhombic
formation enthalpy at 0 K = -0.055 eV per atom
symmetry = No. 65
ΔE to the lowest computed polymorph = 315.0 meV per atom